No. 1
This record from Alexandria describes a relaxed structure of Re2AgBr2. The functional is GGA-PBE.

Cell: 9.2183 9.2183 2.8660 Å, 90.00 90.00 90.00°
Positions (direct):
Re  0.0886  0.4114  0.0000
Re  0.4114  0.9114  0.0000
Re  0.5886  0.0886  0.0000
Re  0.9114  0.5886  0.0000
Ag  0.0000  0.0000  0.5000
Ag  0.5000  0.5000  0.5000
Br  0.2481  0.7481  0.5000
Br  0.2519  0.2481  0.5000
Br  0.7481  0.7519  0.5000
Br  0.7519  0.2519  0.5000

Calculated total energy in eV per atom: -4.90
N(E_F) in states/eV/f.u.: 3.014
E_form (uncorrected) in eV per atom: 1.32
Total moment in μB/cell: 0.0
Distance to the lowest polymorph of the same formula in eV per atom: 0.000

---

No. 2
This record from Alexandria describes a relaxed structure of Re2AgBr. The functional is GGA-PBE.

Cell: 2.8093 2.8093 8.4390 Å, 90.00 90.00 90.00°
Positions (direct):
Re  0.0000  0.0000  0.2498
Re  0.0000  0.0000  0.7502
Ag  0.5000  0.5000  0.0000
Br  0.5000  0.5000  0.5000

Calculated total energy in eV per atom: -5.91
N(E_F) in states/eV/f.u.: 3.981
E_form (uncorrected) in eV per atom: 1.44
Total moment in μB/cell: 0.0
Distance to the lowest polymorph of the same formula in eV per atom: 1.006

---

No. 3
This record from Alexandria describes a relaxed structure of Re2AgBr. The functional is GGA-PBE.

Cell: 4.9997 4.9997 4.9325 Å, 100.79 100.79 33.56°
Positions (direct):
Re  0.2468  0.2468  0.2547
Re  0.7532  0.7532  0.7453
Ag  0.0000  0.0000  0.5000
Br  0.5000  0.5000  0.0000

Calculated total energy in eV per atom: -6.15
N(E_F) in states/eV/f.u.: 3.739
E_form (uncorrected) in eV per atom: 1.21
Total moment in μB/cell: 0.0
Distance to the lowest polymorph of the same formula in eV per atom: 0.772

---

No. 4
This record from Alexandria describes a relaxed structure of Re2AgBr2. The functional is GGA-PBE.

Cell: 6.5333 6.5333 6.5333 Å, 142.60 142.60 53.93°
Positions (direct):
Re  0.2500  0.7500  0.5000
Re  0.7500  0.2500  0.5000
Ag  0.0000  0.0000  0.0000
Br  0.3669  0.3669  0.0000
Br  0.6331  0.6331  0.0000

Calculated total energy in eV per atom: -4.86
N(E_F) in states/eV/f.u.: 4.917
E_form (uncorrected) in eV per atom: 1.36
Total moment in μB/cell: 0.0
Distance to the lowest polymorph of the same formula in eV per atom: 0.044

---

Copy entry 2 word for word.
This record from Alexandria describes a relaxed structure of Re2AgBr. The functional is GGA-PBE.

Cell: 2.8093 2.8093 8.4390 Å, 90.00 90.00 90.00°
Positions (direct):
Re  0.0000  0.0000  0.2498
Re  0.0000  0.0000  0.7502
Ag  0.5000  0.5000  0.0000
Br  0.5000  0.5000  0.5000

Calculated total energy in eV per atom: -5.91
N(E_F) in states/eV/f.u.: 3.981
E_form (uncorrected) in eV per atom: 1.44
Total moment in μB/cell: 0.0
Distance to the lowest polymorph of the same formula in eV per atom: 1.006

---

Q: Number 2 is which compound?
A: Re2AgBr